No. 1
# CdCoOs2

Crystalline CdCoOs2 at its relaxed geometry (PBEsol, Alexandria).

The structure belongs to space group R3m (No. 160, hexagonal axes); the cell edges are 2.7277, 2.7277 and 26.5804 Å and the angles 90.00°, 90.00° and 120.00°. The inequivalent atoms are Cd at (0.0000, 0.0000, 0.0000), Co at (0.0000, 0.0000, 0.2484), Os at (0.0000, 0.0000, 0.5065) and Os at (0.0000, 0.0000, 0.7604).

The formation enthalpy at 0 K is 333 meV per atom. Its energy is -8.01 eV/atom.

***

No. 2
# SrLiSe2Br

Crystalline SrLiSe2Br at its relaxed geometry (PBEsol, Alexandria).

The structure belongs to space group P4/mmm (No. 123); the cell edges are 5.7939, 5.7939 and 5.8375 Å and the angles 90.00°, 90.00° and 90.00°. The inequivalent atoms are Sr at (0.0000, 0.0000, 0.0000), Li at (0.5000, 0.5000, 0.5000), Se at (0.0000, 0.5000, 0.0000) and Br at (0.0000, 0.0000, 0.5000).

Its energy is -3.22 eV/atom.

***

No. 3
# CdAg2Au

Crystalline CdAg2Au at its relaxed geometry (PBEsol, Alexandria).

The structure belongs to space group Pmm2 (No. 25); the cell edges are 2.9690, 4.0180 and 5.7985 Å and the angles 90.00°, 90.00° and 90.00°. The inequivalent atoms are Cd at (0.0000, 0.0000, 0.0000), Ag at (0.0000, 0.0000, 0.4982), Ag at (0.5000, 0.5000, 0.2558) and Au at (0.5000, 0.5000, 0.7481).

The formation enthalpy at 0 K is -92 meV per atom. Its energy is -3.03 eV/atom.